1.
## Cs3Pu2ThSe6 (PBE-GGA)

Data for an optimized crystal structure of Cs3Pu2ThSe6.

Cell: 7.5895 13.1447 8.7522 Å, 90.00 106.79 90.00°
Last column: nearest neighbours and their distance in Å.
Space group C2/m (No. 12)
Inequivalent atoms, fractional coordinates:
Cs: 0.0000 0.0000 0.0000  6 Se 3.63-3.66
Cs: 0.0000 0.3318 0.0000  6 Se 3.63-3.65
Pu: 0.0000 0.1665 0.5000  6 Se 2.99
Th: 0.0000 0.5000 0.5000  6 Se 2.95
Se: 0.2272 0.3353 0.6875  1 Th 2.95, 2 Pu 2.99
Se: 0.2333 0.0000 0.6880  1 Th 2.95, 2 Pu 2.99

## Properties
DFT total energy = -6.47 eV per atom
N(E_F) = 58.77 states/eV per cell
ΔE_f (raw) = -1.510 eV/atom

=====

2.
## Cs3PuTh3Se8 (PBE-GGA)

Data for an optimized crystal structure of Cs3PuTh3Se8.

Cell: 8.6191 8.6191 25.6906 Å, 90.00 90.00 120.00°
Last column: nearest neighbours and their distance in Å.
Space group R-3m (No. 166, hexagonal axes)
Inequivalent atoms, fractional coordinates:
Cs: 0.0000 0.5000 0.0000  6 Se 3.62-3.67
Pu: 0.0000 0.0000 0.5000  6 Se 2.99
Th: 0.0000 0.5000 0.5000  6 Se 2.94-2.99
Se: 0.0000 0.0000 0.2311  3 Th 2.99
Se: 0.0056 0.5028 0.7710  2 Th 2.94, 1 Pu 2.99

## Properties
DFT total energy = -6.05 eV per atom
N(E_F) = 51.46 states/eV per cell
ΔE_f (raw) = -1.578 eV/atom

=====

3.
## CsPuTlSe3 (PBE-GGA)

Data for an optimized crystal structure of CsPuTlSe3.

Cell: 9.0394 4.3253 10.8604 Å, 90.00 95.78 90.00°
Last column: nearest neighbours and their distance in Å.
Space group P2_1/m (No. 11)
Inequivalent atoms, fractional coordinates:
Cs: 0.0914 0.2500 0.1868  5 Se 3.51-3.79
Pu: 0.4182 0.2500 0.8387  6 Se 2.74-2.91
Tl: 0.2602 0.7500 0.5156  3 Se 3.01-3.04
Se: 0.1584 0.2500 0.6849  1 Pu 2.74, 2 Tl 3.04
Se: 0.3174 0.7500 0.9884  3 Pu 2.89-2.91
Se: 0.4727 0.2500 0.2955  2 Pu 2.84, 1 Tl 3.01

## Properties
DFT total energy = -5.75 eV per atom
N(E_F) = 21.46 states/eV per cell
ΔE_f (raw) = -1.081 eV/atom

=====

4.
## Cs2PuTlSe4 (PBE-GGA)

Data for an optimized crystal structure of Cs2PuTlSe4.

Cell: 6.6724 15.3978 26.4917 Å, 90.00 90.00 90.00°
Last column: nearest neighbours and their distance in Å.
Space group Fddd (No. 70, origin choice 2)
Inequivalent atoms, fractional coordinates:
Cs: 0.1250 0.1250 0.3053  8 Se 3.97-4.08
Pu: 0.1250 0.1250 0.1250  4 Se 2.76
Tl: 0.1250 0.1250 0.6250  4 Se 2.73
Se: 0.1210 0.2691 0.8204  1 Tl 2.73, 1 Pu 2.76

## Properties
DFT total energy = -4.96 eV per atom
N(E_F) = 78.23 states/eV per cell
ΔE_f (raw) = -0.914 eV/atom

=====

5.
## Cs2Tm2PuSe6 (PBE-GGA)

Data for an optimized crystal structure of Cs2Tm2PuSe6.

Cell: 7.1817 12.4535 8.9260 Å, 90.00 105.82 90.00°
Last column: nearest neighbours and their distance in Å.
Space group C2/m (No. 12)
Inequivalent atoms, fractional coordinates:
Cs: 0.0000 0.1678 0.0000  6 Se 3.63-3.65
Tm: 0.0000 0.3332 0.5000  6 Se 2.86
Pu: 0.0000 0.0000 0.5000  6 Se 2.85
Se: 0.2271 0.1659 0.6807  1 Pu 2.85, 2 Tm 2.86
Se: 0.2287 0.5000 0.6804  1 Pu 2.85, 2 Tm 2.86

## Properties
DFT total energy = -5.78 eV per atom
N(E_F) = 18.00 states/eV per cell
ΔE_f (raw) = -1.604 eV/atom

=====

6.
## Cs3Tm2PuSe6 (PBE-GGA)

Data for an optimized crystal structure of Cs3Tm2PuSe6.

Cell: 7.4025 12.8215 8.7017 Å, 90.00 106.47 90.00°
Last column: nearest neighbours and their distance in Å.
Space group C2/m (No. 12)
Inequivalent atoms, fractional coordinates:
Cs: 0.0000 0.0000 0.0000  6 Se 3.58-3.63
Cs: 0.0000 0.3339 0.0000  6 Se 3.58-3.63
Tm: 0.0000 0.1667 0.5000  6 Se 2.88
Pu: 0.0000 0.5000 0.5000  6 Se 2.95
Se: 0.2206 0.0000 0.6834  2 Tm 2.88, 1 Pu 2.95
Se: 0.2315 0.3297 0.6836  2 Tm 2.88, 1 Pu 2.95

## Properties
DFT total energy = -5.50 eV per atom
N(E_F) = 25.98 states/eV per cell
ΔE_f (raw) = -1.603 eV/atom

=====

7.
## Cs3TmPu3Se8 (PBE-GGA)

Data for an optimized crystal structure of Cs3TmPu3Se8.

Cell: 8.4743 8.4743 25.4302 Å, 90.00 90.00 120.00°
Last column: nearest neighbours and their distance in Å.
Space group R-3m (No. 166, hexagonal axes)
Inequivalent atoms, fractional coordinates:
Cs: 0.0000 0.5000 0.0000  6 Se 3.64-3.65
Tm: 0.0000 0.0000 0.5000  6 Se 2.87
Pu: 0.0000 0.5000 0.5000  6 Se 2.89
Se: 0.0000 0.0000 0.2274  3 Pu 2.89
Se: 0.0026 0.5013 0.2266  1 Tm 2.87, 2 Pu 2.89

## Properties
DFT total energy = -6.69 eV per atom
N(E_F) = 93.83 states/eV per cell
ΔE_f (raw) = -1.500 eV/atom

=====

8.
## Cs2TmPuSe4 (PBE-GGA)

Data for an optimized crystal structure of Cs2TmPuSe4.

Cell: 7.4448 4.2826 8.7001 Å, 90.00 106.48 90.00°
Last column: nearest neighbours and their distance in Å.
Space group P2/m (No. 10)
Inequivalent atoms, fractional coordinates:
Cs: 0.0000 0.0000 0.0000  6 Se 3.58-3.60
Cs: 0.5000 0.5000 0.0000  6 Se 3.64-3.65
Tm: 0.0000 0.5000 0.5000  6 Se 2.88-2.89
Pu: 0.5000 0.0000 0.5000  6 Se 2.93-2.96
Se: 0.2209 0.0000 0.6838  2 Tm 2.89, 1 Pu 2.96
Se: 0.2661 0.5000 0.3163  1 Tm 2.88, 2 Pu 2.93

## Properties
DFT total energy = -5.87 eV per atom
N(E_F) = 12.04 states/eV per cell
ΔE_f (raw) = -1.560 eV/atom

=====

9.
## Cs2PuU2Se6 (PBE-GGA)

Data for an optimized crystal structure of Cs2PuU2Se6.

Cell: 7.3086 12.6804 8.9067 Å, 90.00 105.58 90.00°
Last column: nearest neighbours and their distance in Å.
Space group C2/m (No. 12)
Inequivalent atoms, fractional coordinates:
Cs: 0.0000 0.1650 0.0000  6 Se 3.65-3.67
Pu: 0.0000 0.0000 0.5000  6 Se 2.94
U: 0.0000 0.3338 0.5000  6 Se 2.87
Se: 0.2193 0.5000 0.6823  2 U 2.87, 1 Pu 2.94
Se: 0.2294 0.1704 0.6818  2 U 2.87, 1 Pu 2.94

## Properties
DFT total energy = -6.75 eV per atom
N(E_F) = 49.28 states/eV per cell
ΔE_f (raw) = -1.334 eV/atom

=====

10.
## Cs3Pu2USe6 (PBE-GGA)

Data for an optimized crystal structure of Cs3Pu2USe6.

Cell: 7.5551 13.0852 8.7216 Å, 90.00 106.78 90.00°
Last column: nearest neighbours and their distance in Å.
Space group C2/m (No. 12)
Inequivalent atoms, fractional coordinates:
Cs: 0.0000 0.0000 0.0000  6 Se 3.62-3.67
Cs: 0.0000 0.3314 0.0000  6 Se 3.62-3.65
Pu: 0.0000 0.1665 0.5000  6 Se 2.98
U: 0.0000 0.5000 0.5000  6 Se 2.92
Se: 0.2255 0.3363 0.6854  1 U 2.92, 2 Pu 2.98
Se: 0.2348 0.0000 0.6862  1 U 2.92, 2 Pu 2.98

## Properties
DFT total energy = -6.63 eV per atom
N(E_F) = 76.92 states/eV per cell
ΔE_f (raw) = -1.348 eV/atom

=====

11.
## Cs4PuU3Se12 (PBE-GGA)

Data for an optimized crystal structure of Cs4PuU3Se12.

Cell: 11.0140 11.0140 11.0140 Å, 90.00 90.00 90.00°
Last column: nearest neighbours and their distance in Å.
Space group Im-3m (No. 229)
Inequivalent atoms, fractional coordinates:
Cs: 0.2500 0.2500 0.2500  12 Se 3.89
Pu: 0.0000 0.0000 0.0000  6 Se 2.83
U: 0.0000 0.0000 0.5000  6 Se 2.68-2.75
Se: 0.0000 0.0000 0.2570  1 U 2.68, 1 Pu 2.83
Se: 0.0000 0.2500 0.5000  2 U 2.75

## Properties
DFT total energy = -5.87 eV per atom
N(E_F) = 55.26 states/eV per cell
ΔE_f (raw) = -1.201 eV/atom

=====

12.
## CsPuVSe4 (PBE-GGA)

Data for an optimized crystal structure of CsPuVSe4.

Cell: 6.7083 6.9628 9.9579 Å, 90.00 108.93 90.00°
Last column: nearest neighbours and their distance in Å.
Space group P2_1/m (No. 11)
Inequivalent atoms, fractional coordinates:
Cs: 0.2366 0.2500 0.4385  8 Se 3.57-3.86
Pu: 0.2785 0.2500 0.9555  6 Se 2.94-3.00
V: 0.2836 0.7500 0.1622  4 Se 2.29-2.35
Se: 0.0738 0.7500 0.9287  1 V 2.29
Se: 0.0781 0.7500 0.3106  1 V 2.32
Se: 0.4816 0.5098 0.7974  1 V 2.35

## Properties
DFT total energy = -6.59 eV per atom
N(E_F) = 23.22 states/eV per cell
ΔE_f (raw) = -1.127 eV/atom

=====

13.
## Cs3Y3PuSe8 (PBE-GGA)

Data for an optimized crystal structure of Cs3Y3PuSe8.

Cell: 14.6088 8.4345 9.8258 Å, 90.00 119.75 90.00°
Last column: nearest neighbours and their distance in Å.
Space group C2/m (No. 12)
Inequivalent atoms, fractional coordinates:
Cs: 0.0000 0.0000 0.0000  6 Se 3.63-3.64
Cs: 0.2500 0.2500 0.0000  6 Se 3.63-3.64
Y: 0.0000 0.5000 0.5000  6 Se 2.90
Y: 0.2500 0.2500 0.5000  6 Se 2.90
Pu: 0.0000 0.0000 0.5000  6 Se 2.86
Se: 0.0216 0.2468 0.3184  1 Pu 2.86, 2 Y 2.90
Se: 0.2252 0.0000 0.6816  1 Pu 2.86, 2 Y 2.90
Se: 0.2283 0.5000 0.6846  3 Y 2.90

## Properties
DFT total energy = -5.93 eV per atom
N(E_F) = 24.81 states/eV per cell
ΔE_f (raw) = -1.649 eV/atom

=====

14.
## Cs3YPu2Se6 (PBE-GGA)

Data for an optimized crystal structure of Cs3YPu2Se6.

Cell: 7.4833 12.9615 8.7191 Å, 90.00 106.62 90.00°
Last column: nearest neighbours and their distance in Å.
Space group C2/m (No. 12)
Inequivalent atoms, fractional coordinates:
Cs: 0.0000 0.0000 0.0000  6 Se 3.62-3.64
Cs: 0.0000 0.3333 0.0000  6 Se 3.62-3.64
Y: 0.0000 0.5000 0.5000  6 Se 2.92
Pu: 0.0000 0.1667 0.5000  6 Se 2.94
Se: 0.2273 0.3343 0.6850  1 Y 2.92, 2 Pu 2.94
Se: 0.2303 0.0000 0.6850  1 Y 2.92, 2 Pu 2.94

## Properties
DFT total energy = -6.41 eV per atom
N(E_F) = 47.24 states/eV per cell
ΔE_f (raw) = -1.528 eV/atom

=====

15.
## CsPuZnSe3 (PBE-GGA)

Data for an optimized crystal structure of CsPuZnSe3.

Cell: 4.2491 11.1502 8.3667 Å, 90.00 104.70 90.00°
Last column: nearest neighbours and their distance in Å.
Space group P2_1/m (No. 11)
Inequivalent atoms, fractional coordinates:
Cs: 0.2439 0.2500 0.4869  8 Se 3.71-4.05, 2 Zn 4.15
Pu: 0.5000 0.0000 0.0000  6 Se 2.92-2.93
Zn: 0.0359 0.7500 0.0723  4 Se 2.46-2.59
Se: 0.1158 0.5625 0.2318  1 Zn 2.46
Se: 0.4444 0.7500 0.8889  2 Zn 2.59

## Properties
DFT total energy = -5.71 eV per atom
N(E_F) = 22.36 states/eV per cell
ΔE_f (raw) = -1.225 eV/atom

=====

16.
## CsPuZnSe3 (PBE-GGA)

Data for an optimized crystal structure of CsPuZnSe3.

Cell: 9.7320 4.2444 10.3293 Å, 90.00 110.73 90.00°
Last column: nearest neighbours and their distance in Å.
Space group P2_1/m (No. 11)
Inequivalent atoms, fractional coordinates:
Cs: 0.2157 0.2500 0.2425  7 Se 3.66-3.83
Pu: 0.3284 0.7500 0.8568  6 Se 2.87-3.06
Zn: 0.0840 0.2500 0.6111  4 Se 2.44-2.57
Se: 0.1208 0.2500 0.8573  1 Zn 2.44
Se: 0.1882 0.7500 0.5405  3 Zn 2.56-2.57
Se: 0.4747 0.7500 0.1515  3 Pu 2.87-2.88

## Properties
DFT total energy = -5.69 eV per atom
N(E_F) = 21.27 states/eV per cell
ΔE_f (raw) = -1.202 eV/atom

=====

17.
## Cs2Pu2ZrSe6 (PBE-GGA)

Data for an optimized crystal structure of Cs2Pu2ZrSe6.

Cell: 7.1917 12.3776 8.9023 Å, 90.00 105.92 90.00°
Last column: nearest neighbours and their distance in Å.
Space group C2/m (No. 12)
Inequivalent atoms, fractional coordinates:
Cs: 0.0000 0.1692 0.0000  6 Se 3.60-3.68
Pu: 0.0000 0.3332 0.5000  6 Se 2.90
Zr: 0.0000 0.0000 0.5000  6 Se 2.75
Se: 0.2211 0.1582 0.6812  1 Zr 2.75, 2 Pu 2.90
Se: 0.2446 0.5000 0.6803  1 Zr 2.75, 2 Pu 2.90

## Properties
DFT total energy = -6.87 eV per atom
N(E_F) = 44.92 states/eV per cell
ΔE_f (raw) = -1.433 eV/atom

=====

18.
## Cs3Sm2PuTe6 (PBE-GGA)

Data for an optimized crystal structure of Cs3Sm2PuTe6.

Cell: 8.0442 13.9345 9.3039 Å, 90.00 106.75 90.00°
Last column: nearest neighbours and their distance in Å.
Space group C2/m (No. 12)
Inequivalent atoms, fractional coordinates:
Cs: 0.0000 0.0000 0.0000  6 Te 3.84
Cs: 0.0000 0.3327 0.0000  6 Te 3.84
Sm: 0.0000 0.1665 0.5000  6 Te 3.18
Pu: 0.0000 0.5000 0.5000  6 Te 3.18
Te: 0.2303 0.3335 0.6915  1 Pu 3.18, 2 Sm 3.18
Te: 0.2310 0.0000 0.6920  1 Pu 3.18, 2 Sm 3.18

## Properties
DFT total energy = -5.06 eV per atom
N(E_F) = 28.41 states/eV per cell
ΔE_f (raw) = -1.296 eV/atom

=====

19.
## CsPuSn2 (PBE-GGA)

Data for an optimized crystal structure of CsPuSn2.

Cell: 5.2338 5.2338 21.8614 Å, 90.00 90.00 120.00°
Last column: nearest neighbours and their distance in Å.
Space group R-3m (No. 166, hexagonal axes)
Inequivalent atoms, fractional coordinates:
Cs: 0.0000 0.0000 0.0000  8 Sn 4.13-4.48
Pu: 0.0000 0.0000 0.5000  6 Sn 3.13
Sn: 0.0000 0.0000 0.2049  3 Pu 3.13, 3 Sn 3.45

## Properties
DFT total energy = -5.79 eV per atom
N(E_F) = 42.15 states/eV per cell
Formation energy = 0.5 kJ per mole of atoms

=====

20.
## CsPu2SnTe4 (PBE-GGA)

Data for an optimized crystal structure of CsPu2SnTe4.

Cell: 4.6462 15.8206 17.1744 Å, 90.00 90.00 90.00°
Last column: nearest neighbours and their distance in Å.
Space group Cmcm (No. 63)
Inequivalent atoms, fractional coordinates:
Cs: 0.0000 0.1244 0.2500  6 Te 3.71-4.04, 2 Sn 3.93
Pu: 0.0000 0.3747 0.0588  6 Te 3.15-3.45
Sn: 0.0000 0.1754 0.7500  4 Te 2.97-3.04
Te: 0.0000 0.0000 0.0000  4 Pu 3.22
Te: 0.0000 0.2589 0.5904  1 Sn 3.04, 3 Pu 3.15-3.19
Te: 0.0000 0.4415 0.2500  2 Sn 2.97

## Properties
DFT total energy = -6.54 eV per atom
N(E_F) = 119.78 states/eV per cell
ΔE_f (raw) = -0.776 eV/atom